[1]
Rb2SbAuBr6 | GGA-PBE | optimized geometry

Cell lengths 11.1772, 11.1772, 11.1772 Å; angles 90.00, 90.00, 90.00 degrees
Space group Fm-3m (No. 225)
Inequivalent atoms, fractional coordinates:
1 Rb 0.2500 0.2500 0.2500 x8
2 Sb 0.0000 0.0000 0.0000 x4
3 Au 0.0000 0.0000 0.5000 x4
4 Br 0.0000 0.0000 0.2512 x24

The total energy comes out at -28.7 eV/f.u.

=====

[2]
PrSmGa2Pd4 | GGA-PBE | optimized geometry

Cell lengths 4.4477, 4.4477, 9.3555 Å; angles 90.00, 90.00, 120.00 degrees
Space group P-6m2 (No. 187)
Inequivalent atoms, fractional coordinates:
1 Pr 0.0000 0.0000 0.0000 x1
2 Sm 0.3333 0.6667 0.5000 x1
3 Ga 0.6667 0.3333 0.2512 x2
4 Pd 0.0000 0.0000 0.3270 x2
5 Pd 0.3333 0.6667 0.1766 x2

The total energy comes out at -43.0 eV/f.u. The magnetization comes out at 0.00 μB per formula unit.